(1)
CrRuAu2: optimized geometry, GGA-PBE.

## Properties
uncorrected energy	-24.685	eV for the cell shown
excess energy over the best structure of this formula in the dataset	50	meV per atom
Fermi-level density of states	2.5	states/eV/f.u.

Lattice parameters (Å, degrees): 2.902 3.615 6.082 90.00 90.00 90.00
Space group Pmm2 (No. 25)
Symmetry-distinct sites (fractional):
Cr 0.000 0.000 0.000
Ru 0.500 0.500 0.182
Au 0.000 0.000 0.454
Au 0.500 0.500 0.731

(2)
Pu2CuB2Ir5: optimized geometry, GGA-PBE.

## Properties
uncorrected energy	-187.898	eV for the cell shown
Fermi-level density of states	22.5	states/eV/f.u.

Lattice parameters (Å, degrees): 9.395 9.395 3.311 90.00 90.00 90.00
Space group P4/mbm (No. 127)
Symmetry-distinct sites (fractional):
Pu 0.177 0.323 0.000
Cu 0.000 0.000 0.000
B 0.123 0.623 0.000
Ir 0.000 0.500 0.500
Ir 0.069 0.783 0.500

(3)
ScMoSe2: optimized geometry, GGA-PBE.

## Properties
uncorrected energy	-102.580	eV for the cell shown
ΔE_f (raw)	-0.378	eV/atom
excess energy over the best structure of this formula in the dataset	397	meV per atom
Fermi-level density of states	2.9	states/eV/f.u.

Lattice parameters (Å, degrees): 5.379 5.379 13.463 90.00 90.00 90.00
Space group I-42d (No. 122)
Symmetry-distinct sites (fractional):
Sc 0.000 0.000 0.000
Mo 0.000 0.000 0.500
Se 0.218 0.250 0.625

(4)
Co2TcPt2: optimized geometry, GGA-PBE.

## Properties
uncorrected energy	-71.773	eV for the cell shown
excess energy over the best structure of this formula in the dataset	0	meV per atom
Fermi-level density of states	6.1	states/eV/f.u.

Lattice parameters (Å, degrees): 7.163 7.163 2.721 90.00 90.00 90.00
Space group P4/mbm (No. 127)
Symmetry-distinct sites (fractional):
Co 0.116 0.384 0.000
Tc 0.000 0.000 0.000
Pt 0.180 0.680 0.500

(5)
SrTe2P: optimized geometry, GGA-PBE.

## Properties
uncorrected energy	-30.267	eV for the cell shown
ΔE_f (raw)	-0.440	eV/atom
excess energy over the best structure of this formula in the dataset	217	meV per atom
Fermi-level density of states	0.8	states/eV/f.u.

Lattice parameters (Å, degrees): 6.354 6.354 6.219 90.00 90.00 90.00
Space group I4/mmm (No. 139)
Symmetry-distinct sites (fractional):
Sr 0.000 0.000 0.000
Te 0.000 0.500 0.000
P 0.000 0.000 0.500

(6)
Ag2BrO: optimized geometry, GGA-PBE.

## Properties
uncorrected energy	-50.272	eV for the cell shown
ΔE_f (raw)	-0.059	eV/atom
excess energy over the best structure of this formula in the dataset	0	meV per atom
Fermi-level density of states	4.5	states/eV/f.u.

Lattice parameters (Å, degrees): 5.408 5.408 12.135 90.00 90.00 90.00
Space group I-42d (No. 122)
Symmetry-distinct sites (fractional):
Ag 0.131 0.250 0.125
Br 0.000 0.000 0.500
O 0.000 0.000 0.000

(7)
BaY2Tm: optimized geometry, GGA-PBE.

## Properties
uncorrected energy	-18.595	eV for the cell shown
Fermi-level density of states	6.8	states/eV/f.u.

Lattice parameters (Å, degrees): 4.020 4.020 9.459 90.00 90.00 90.00
Space group P4/mmm (No. 123)
Symmetry-distinct sites (fractional):
Ba 0.000 0.000 0.000
Y 0.500 0.500 0.303
Tm 0.000 0.000 0.500

(8)
BaEuCd: optimized geometry, GGA-PBE.

## Properties
uncorrected energy	-13.407	eV for the cell shown
excess energy over the best structure of this formula in the dataset	114	meV per atom
Fermi-level density of states	8.6	states/eV/f.u.

Lattice parameters (Å, degrees): 5.7400 5.7400 4.3299 90.00 90.00 120.00
Space group P3m1 (No. 156)
Symmetry-distinct sites (fractional):
Ba 0.0000 0.0000 0.0000
Eu 0.3333 0.6667 0.5008
Cd 0.6667 0.3333 0.4974